No. 1
Entry from Alexandria via LeMat-Bulk: Be2OsCSe after structural relaxation (PBEsol).

Total DFT energy (no corrections): -24.191 eV per formula unit
Space-group type: P4/mmm, No. 123
Uncorrected formation energy: 43.90 kcal/mol of atoms
Polymorph energy (0 for the lowest one): 1055.5 meV per atom

a = 4.3512 Å, b = 4.3512 Å, c = 4.4947 Å
α = 90.00°, β = 90.00°, γ = 90.00°
Fractional positions:
Be  0.5000  0.0000  0.0000
Be  0.0000  0.5000  0.0000
Se  0.0000  0.0000  0.5000
C  0.5000  0.5000  0.5000
Os  0.0000  0.0000  0.0000

***

No. 2
Entry from Alexandria via LeMat-Bulk: Cs2TcOsF after structural relaxation (PBEsol).

Total DFT energy (no corrections): -20.029 eV per formula unit
Space-group type: P4/mmm, No. 123
Uncorrected formation energy: 33.51 kcal/mol of atoms

a = 3.9787 Å, b = 6.4863 Å, c = 6.4863 Å
α = 90.00°, β = 90.00°, γ = 90.00°
Fractional positions:
Tc  0.0000  0.0000  0.0000
Cs  0.0000  0.0000  0.5000
Cs  0.0000  0.5000  0.0000
F  0.5000  0.0000  0.0000
Os  0.5000  0.5000  0.5000

***

No. 3
Entry from Alexandria via LeMat-Bulk: CrTc2W after structural relaxation (PBEsol).

Total DFT energy (no corrections): -45.534 eV per formula unit
Space-group type: R-3m, No. 166
ΔE_f: 1.0 eV/f.u.

a = 2.7207 Å, b = 2.7207 Å, c = 8.8280 Å
α = 81.14°, β = 81.14°, γ = 60.00°
Fractional positions:
Cr  0.0000  0.0000  0.0000
Tc  0.7441  0.7441  0.7676
W  0.5000  0.5000  0.5000
Tc  0.2559  0.2559  0.2324

***

No. 4
Entry from Alexandria via LeMat-Bulk: Te2PbN after structural relaxation (PBEsol).

Total DFT energy (no corrections): -17.492 eV per formula unit
Space-group type: I-42d, No. 122
Uncorrected formation energy: 12.02 kcal/mol of atoms

a = 6.4309 Å, b = 6.4309 Å, c = 6.4309 Å
α = 102.81°, β = 112.90°, γ = 112.90°
Fractional positions:
Te  0.3824  0.8750  0.7574
Te  0.8824  0.5074  0.1250
Pb  0.0000  0.0000  0.0000
Pb  0.5000  0.7500  0.2500
N  0.5000  0.2500  0.7500
N  0.0000  0.5000  0.5000
Te  0.6176  0.3750  0.4926
Te  0.1176  0.2426  0.6250

***

No. 5
Entry from Alexandria via LeMat-Bulk: Li2MgBe after structural relaxation (PBEsol).

Total DFT energy (no corrections): -8.962 eV per formula unit
Space-group type: Immm, No. 71
ΔE_f: 0.7 eV/f.u.

a = 3.0084 Å, b = 4.4455 Å, c = 5.3401 Å
α = 114.60°, β = 106.36°, γ = 90.00°
Fractional positions:
Li  0.7240  0.7240  0.4480
Li  0.2760  0.2760  0.5520
Be  0.0000  0.5000  0.0000
Mg  0.5000  0.0000  0.0000

***

No. 6
Entry from Alexandria via LeMat-Bulk: Ba2CdInRh after structural relaxation (PBEsol).

Total DFT energy (no corrections): -13.404 eV per formula unit
Space-group type: P4/mmm, No. 123
ΔE_f: 3.2 eV/f.u.

a = 5.0231 Å, b = 6.1978 Å, c = 6.1978 Å
α = 90.00°, β = 90.00°, γ = 90.00°
Fractional positions:
Ba  0.0000  0.5000  0.0000
In  0.5000  0.0000  0.0000
Cd  0.0000  0.0000  0.0000
Ba  0.0000  0.0000  0.5000
Rh  0.5000  0.5000  0.5000

***

No. 7
Entry from Alexandria via LeMat-Bulk: Li3V3O3F5 after structural relaxation (PBEsol).

Total DFT energy (no corrections): -95.185 eV per formula unit
Space-group type: Cm, No. 8
Uncorrected formation energy: -57.65 kcal/mol of atoms

a = 5.7951 Å, b = 5.9601 Å, c = 6.0034 Å
α = 121.03°, β = 90.00°, γ = 119.09°
Fractional positions:
Li  0.6171  0.2342  0.3616
V  0.6039  0.7474  0.3643
V  0.1436  0.7474  0.3643
O  0.8623  0.7246  0.1531
F  0.8743  0.2596  0.1331
F  0.8632  0.7264  0.5963
F  0.8553  0.2397  0.6187
V  0.6261  0.2522  0.8799
F  0.3844  0.2397  0.6187
F  0.3854  0.2596  0.1331
Li  0.2646  0.5292  0.7611
Li  0.9795  0.9589  0.9979
O  0.3876  0.7751  0.6168
O  0.3845  0.7691  0.1490

***

No. 8
Entry from Alexandria via LeMat-Bulk: La2HgRu after structural relaxation (PBEsol).

Total DFT energy (no corrections): -22.774 eV per formula unit
Space-group type: Amm2, No. 38
ΔE_f: -1.3 eV/f.u.

a = 4.0888 Å, b = 4.5119 Å, c = 6.0116 Å
α = 112.04°, β = 90.00°, γ = 90.00°
Fractional positions:
La  0.5000  0.2557  0.5114
La  0.0000  0.9534  0.9068
Hg  0.5000  0.5512  0.1024
Ru  0.0000  0.7411  0.4822

***

No. 9
Entry from Alexandria via LeMat-Bulk: YAg2Te after structural relaxation (PBEsol).

Total DFT energy (no corrections): -18.216 eV per formula unit
Space-group type: I-4m2, No. 119
Uncorrected formation energy: -7.18 kcal/mol of atoms

a = 4.3590 Å, b = 4.3590 Å, c = 5.5860 Å
α = 112.96°, β = 112.96°, γ = 90.00°
Fractional positions:
Te  0.5000  0.5000  0.0000
Ag  0.0000  0.0000  0.0000
Ag  0.7500  0.2500  0.5000
Y  0.2500  0.7500  0.5000

***

No. 10
Entry from Alexandria via LeMat-Bulk: InCuTc2 after structural relaxation (PBEsol).

Total DFT energy (no corrections): -27.738 eV per formula unit
Space-group type: Cmmm, No. 65
ΔE_f: 2.1 eV/f.u.

a = 2.6979 Å, b = 2.6979 Å, c = 8.4176 Å
α = 90.00°, β = 90.00°, γ = 103.79°
Fractional positions:
Tc  0.0000  0.0000  0.2691
Tc  0.0000  0.0000  0.7309
In  0.5000  0.5000  0.0000
Cu  0.5000  0.5000  0.5000

***

No. 11
Entry from Alexandria via LeMat-Bulk: Cs3LiCl4 after structural relaxation (PBEsol).

Total DFT energy (no corrections): -27.926 eV per formula unit
Space-group type: Amm2, No. 38
Uncorrected formation energy: -43.53 kcal/mol of atoms

a = 4.2142 Å, b = 6.6555 Å, c = 10.0255 Å
α = 90.00°, β = 90.00°, γ = 108.46°
Fractional positions:
Cs  0.3221  0.6443  0.7317
Cl  0.6050  0.2099  0.2785
Li  0.5415  0.0829  0.5000
Cl  0.6050  0.2099  0.7215
Cl  0.8251  0.6502  0.0000
Cl  0.9322  0.8644  0.5000
Cs  0.0939  0.1879  0.0000
Cs  0.3221  0.6443  0.2683

***

No. 12
Entry from Alexandria via LeMat-Bulk: MgAgSeBr2 after structural relaxation (PBEsol).

Total DFT energy (no corrections): -13.729 eV per formula unit
Space-group type: P4/mmm, No. 123
Uncorrected formation energy: -5.12 kcal/mol of atoms

a = 5.1067 Å, b = 5.1085 Å, c = 5.1085 Å
α = 90.00°, β = 90.00°, γ = 90.00°
Fractional positions:
Mg  0.0000  0.0000  0.0000
Ag  0.5000  0.5000  0.5000
Se  0.5000  0.0000  0.0000
Br  0.0000  0.0000  0.5000
Br  0.0000  0.5000  0.0000